Entry 1:
Computed, not measured: a relaxed CsCaTlCl4 crystal at the PBE level of DFT.

Results
Its density of states at the Fermi level is 0.0 states/eV per cell. Its space group is I4mm, No. 107. The energy relative to the elements, uncorrected comes out at -1887 meV per atom.

Cell and atoms, written as POSCAR:
```
CsCaTlCl4
1.0
5.397 0.000 0.000
0.000 5.397 0.000
0.000 0.000 16.820
Cs Ca Tl Cl
2 2 2 8
direct
0.000 0.000 0.000
0.500 0.500 0.500
0.000 0.000 0.358
0.500 0.500 0.858
0.000 0.000 0.710
0.500 0.500 0.210
0.000 0.000 0.197
0.000 0.000 0.523
0.000 0.500 0.354
0.000 0.500 0.854
0.500 0.000 0.354
0.500 0.000 0.854
0.500 0.500 0.023
0.500 0.500 0.697
```



Entry 2:
Computed, not measured: a relaxed Hf3IBr crystal at the PBE level of DFT.

Results
Its density of states at the Fermi level is 8.4 states/eV per cell. Its space group is Pm-3m, No. 221. The energy relative to the elements, uncorrected comes out at 908 meV per atom.

Cell and atoms, written as POSCAR:
```
Hf3IBr
1.0
5.016 0.000 0.000
0.000 5.016 0.000
0.000 0.000 5.016
Hf I Br
3 1 1
direct
0.000 0.000 0.500
0.000 0.500 0.000
0.500 0.000 0.000
0.500 0.500 0.500
0.000 0.000 0.000
```



Entry 3:
Computed, not measured: a relaxed Na3Ag4Bi4 crystal at the PBE level of DFT.

Results
Its density of states at the Fermi level is 3.3 states/eV per cell. As for the total energy: -31.55 eV for the cell shown. Its space group is Immm, No. 71.

Cell and atoms, written as POSCAR:
```
Na3Ag4Bi4
1.0
-1.861 2.618 15.247
1.861 -2.618 15.247
1.861 2.618 -15.247
Na Ag Bi
3 4 4
direct
0.000 0.000 0.000
0.363 0.863 0.500
0.637 0.137 0.500
0.183 0.683 0.500
0.454 0.454 0.000
0.546 0.546 0.000
0.817 0.317 0.500
0.090 0.590 0.500
0.263 0.263 0.000
0.737 0.737 0.000
0.910 0.410 0.500
```



Entry 4:
Computed, not measured: a relaxed La2CdBi3Rh4 crystal at the PBE level of DFT.

Results
Its density of states at the Fermi level is 6.8 states/eV per cell. As for the total energy: -56.86 eV for the cell shown. Its space group is P-4m2, No. 115.

Cell and atoms, written as POSCAR:
```
La2CdBi3Rh4
1.0
4.539 0.000 0.000
0.000 4.539 0.000
0.000 0.000 11.307
La Cd Bi Rh
2 1 3 4
direct
0.000 0.500 0.246
0.500 0.000 0.754
0.500 0.500 0.000
0.000 0.000 0.000
0.000 0.500 0.632
0.500 0.000 0.368
0.000 0.000 0.500
0.000 0.500 0.863
0.500 0.000 0.137
0.500 0.500 0.500
```



Entry 5:
Computed, not measured: a relaxed NdErCdRh crystal at the PBE level of DFT.

Results
Its density of states at the Fermi level is 9.2 states/eV per cell. As for the total energy: -78.05 eV for the cell shown. Its space group is F-43m, No. 216.

Cell and atoms, written as POSCAR:
```
NdErCdRh
1.0
7.241 0.000 0.000
0.000 7.241 0.000
0.000 0.000 7.241
Nd Er Cd Rh
4 4 4 4
direct
0.000 0.000 0.000
0.000 0.500 0.500
0.500 0.000 0.500
0.500 0.500 0.000
0.000 0.000 0.500
0.000 0.500 0.000
0.500 0.000 0.000
0.500 0.500 0.500
0.250 0.250 0.750
0.250 0.750 0.250
0.750 0.250 0.250
0.750 0.750 0.750
0.250 0.250 0.250
0.250 0.750 0.750
0.750 0.250 0.750
0.750 0.750 0.250
```



Entry 6:
Computed, not measured: a relaxed PmThHgRu crystal at the PBE level of DFT.

Results
Its density of states at the Fermi level is 13.6 states/eV per cell. As for the total energy: -90.73 eV for the cell shown. Its space group is F-43m, No. 216.

Cell and atoms, written as POSCAR:
```
PmThHgRu
1.0
7.346 0.000 0.000
0.000 7.346 0.000
0.000 0.000 7.346
Pm Th Hg Ru
4 4 4 4
direct
0.000 0.000 0.000
0.000 0.500 0.500
0.500 0.000 0.500
0.500 0.500 0.000
0.000 0.000 0.500
0.000 0.500 0.000
0.500 0.000 0.000
0.500 0.500 0.500
0.250 0.250 0.750
0.250 0.750 0.250
0.750 0.250 0.250
0.750 0.750 0.750
0.250 0.250 0.250
0.250 0.750 0.750
0.750 0.250 0.750
0.750 0.750 0.250
```



Entry 7:
Computed, not measured: a relaxed RbSn2SbS6 crystal at the PBE level of DFT.

Results
Its space group is C2/c, No. 15. The energy relative to the elements, uncorrected comes out at -452 meV per atom.

Cell and atoms, written as POSCAR:
```
RbSn2SbS6
1.0
7.587 -5.701 0.000
7.587 5.701 0.000
-3.287 0.000 6.930
Rb Sn Sb S
2 4 2 12
direct
0.234 0.766 0.750
0.766 0.234 0.250
0.147 0.342 0.100
0.342 0.147 0.600
0.658 0.853 0.400
0.853 0.658 0.900
0.276 0.724 0.250
0.724 0.276 0.750
0.123 0.545 0.905
0.140 0.174 0.306
0.174 0.140 0.806
0.328 0.492 0.363
0.455 0.877 0.595
0.492 0.328 0.863
0.508 0.672 0.137
0.545 0.123 0.405
0.672 0.508 0.637
0.826 0.860 0.194
0.860 0.826 0.694
0.877 0.455 0.095
```



What did we get for volume? Answer: 34.99, 25.25, 27.00, 23.30, 23.73, 24.78, 29.97 Å³ per atom, in the order shown.